DFT (GGA-PBEsol) results for a relaxed Li3MnP2O8 crystal.

a = 8.8550 Å, b = 4.6638 Å, c = 13.5645 Å
α = 90.00°, β = 99.91°, γ = 90.00°
Space group C2/c (No. 15)
One atom of each set of equivalent atoms:
Li 0.0000 0.0154 0.2500 x4
Li 0.1664 0.4925 0.6629 x8
Mn 0.0000 0.0000 0.0000 x4
P 0.1574 0.4946 0.3836 x8
O 0.0378 0.2639 0.8583 x8
O 0.1096 0.3178 0.4694 x8
O 0.1685 0.2986 0.2937 x8
O 0.1829 0.1422 0.0828 x8

Calculated values
energy relative to the lowest polymorph listed for this composition	0.0	meV/atom
energy relative to the elements, uncorrected	-2.218	eV/atom
total magnetic moment	4.00	μB/f.u.
E_tot	-7.16	eV/atom